(1)
VASP calculation (PBE) on a geometry-optimized Mn2VNi8 structure.

Computed properties:
* calculated formation energy: 4.7 meV/atom

Unit cell a=6.570 b=6.570 c=6.570 alpha=145.86 beta=124.67 gamma=66.64
Fractional coordinates of all 11 atoms:
Mn 0.196 0.196 0.000
Mn 0.804 0.804 0.000
V 0.500 0.500 0.000
Ni 0.068 0.352 0.716
Ni 0.208 0.000 0.208
Ni 0.346 0.846 0.500
Ni 0.364 0.648 0.716
Ni 0.636 0.352 0.284
Ni 0.654 0.154 0.500
Ni 0.792 0.000 0.792
Ni 0.932 0.648 0.284

---

(2)
VASP calculation (PBE) on a geometry-optimized TiVC structure.

Computed properties:
* calculated formation energy: -328.5 meV/atom

Unit cell a=2.975 b=4.434 c=9.977 alpha=90.00 beta=90.00 gamma=90.00
Fractional coordinates of all 12 atoms:
Ti 0.000 0.247 0.000
Ti 0.000 0.753 0.000
Ti 0.500 0.253 0.500
Ti 0.500 0.747 0.500
V 0.000 0.000 0.282
V 0.000 0.000 0.718
V 0.500 0.500 0.218
V 0.500 0.500 0.782
C 0.000 0.500 0.355
C 0.000 0.500 0.645
C 0.500 0.000 0.145
C 0.500 0.000 0.855